[1]
## Er3ThSc4 (PBE)

Data for an optimized crystal structure of Er3ThSc4.

For the energy above the most stable polymorph in this dataset, the calculation gives 122.0 meV per atom. The total energy comes out at -0.208 hartree per atom. The value obtained for the calculated volume is 28.14 A^3/atom.

```
data_Er3ThSc4
_chemical_formula_sum 'Er6 Th2 Sc8'
_space_group_name_H-M_alt 'C 1 2/m 1'
_space_group_IT_number 12
_space_group_name_Hall '-C 2y'
_cell_length_a 11.445
_cell_length_b 12.406
_cell_length_c 3.306
_cell_angle_alpha 90.00
_cell_angle_beta 106.49
_cell_angle_gamma 90.00
loop_
_atom_site_label
_atom_site_type_symbol
_atom_site_fract_x
_atom_site_fract_y
_atom_site_fract_z
_atom_site_occupancy
Er1 Er 0.000 0.000 0.000 1
Er2 Er 0.000 0.244 0.500 1
Th1 Th 0.000 0.500 0.000 1
Sc1 Sc 0.249 0.135 0.249 1
```

---

[2]
## Er4Th4Sc (PBE)

Data for an optimized crystal structure of Er4Th4Sc.

The total energy comes out at -0.220 hartree per atom. The value obtained for the calculated volume is 30.70 A^3/atom.

```
data_Er4Th4Sc
_chemical_formula_sum 'Er8 Th8 Sc2'
_space_group_name_H-M_alt 'I 4/m m m'
_space_group_IT_number 139
_space_group_name_Hall '-I 4 2'
_cell_length_a 10.527
_cell_length_b 10.527
_cell_length_c 4.987
_cell_angle_alpha 90.00
_cell_angle_beta 90.00
_cell_angle_gamma 90.00
loop_
_atom_site_label
_atom_site_type_symbol
_atom_site_fract_x
_atom_site_fract_y
_atom_site_fract_z
_atom_site_occupancy
Er1 Er 0.166 0.166 0.000 1
Th1 Th 0.000 0.333 0.500 1
Sc1 Sc 0.000 0.000 0.500 1
```

---

[3]
## ErTh2Sc (PBE)

Data for an optimized crystal structure of ErTh2Sc.

For the energy above the most stable polymorph in this dataset, the calculation gives 12.4 meV per atom. The total energy comes out at -0.235 hartree per atom. The value obtained for the calculated volume is 29.82 A^3/atom.

```
data_ErTh2Sc
_chemical_formula_sum 'Er3 Th6 Sc3'
_space_group_name_H-M_alt 'R -3 m'
_space_group_IT_number 166
_space_group_name_Hall '-R 3 2"'
_cell_length_a 3.5163
_cell_length_b 3.5163
_cell_length_c 33.4225
_cell_angle_alpha 90.00
_cell_angle_beta 90.00
_cell_angle_gamma 120.00
loop_
_atom_site_label
_atom_site_type_symbol
_atom_site_fract_x
_atom_site_fract_y
_atom_site_fract_z
_atom_site_occupancy
Er1 Er 0.0000 0.0000 0.0000 1
Th1 Th 0.0000 0.0000 0.2476 1
Sc1 Sc 0.0000 0.0000 0.5000 1
```

---

Going through the records in order, we get size of the total moment values of 0.008; 0.004; 0.000 μB/cell.
Going through the records in order, we get formation energy values of 0.155; 0.043; 0.047 eV per atom.
Going through the records in order, we get Fermi-level density of states values of 1.945; 1.266; 1.545 states/eV per atom.